First-principles (GGA-PBEsol) data for an optimized crystal structure of Ta3CuPd, as listed in Alexandria via LeMat-Bulk.

Results
Symmetry   No. 221
ΔE_f   1.6980 eV/atom
DOS(E_F)   1.010 states/eV/atom

Geometry as POSCAR:
```
Ta3CuPd
1.0
4.749 0.000 0.000
0.000 4.749 0.000
0.000 0.000 4.749
Ta Cu Pd
3 1 1
direct
0.000 0.000 0.500
0.000 0.500 0.000
0.500 0.000 0.000
0.500 0.500 0.500
0.000 0.000 0.000
```

=====

First-principles (GGA-PBEsol) data for an optimized crystal structure of Ca2PAu2, as listed in Alexandria via LeMat-Bulk.

Results
Symmetry   No. 139
ΔE_f   -0.4789 eV/atom
DOS(E_F)   0.633 states/eV/atom

Geometry as POSCAR:
```
Ca2PAu2
1.0
5.725 0.000 0.000
0.000 5.725 0.000
0.000 0.000 7.372
Ca P Au
4 2 4
direct
0.000 0.500 0.250
0.000 0.500 0.750
0.500 0.000 0.250
0.500 0.000 0.750
0.000 0.000 0.000
0.500 0.500 0.500
0.000 0.000 0.327
0.000 0.000 0.673
0.500 0.500 0.173
0.500 0.500 0.827
```

=====

First-principles (GGA-PBEsol) data for an optimized crystal structure of BeCrIr, as listed in Alexandria via LeMat-Bulk.

Results
Symmetry   No. 107
ΔE_f   -0.2778 eV/atom
DOS(E_F)   0.539 states/eV/atom

Geometry as POSCAR:
```
BeCrIr
1.0
2.747 0.000 0.000
0.000 2.747 0.000
0.000 0.000 8.743
Be Cr Ir
2 2 2
direct
0.000 0.000 0.000
0.500 0.500 0.500
0.000 0.000 0.659
0.500 0.500 0.159
0.000 0.000 0.342
0.500 0.500 0.842
```

=====

First-principles (GGA-PBEsol) data for an optimized crystal structure of InPt2Au, as listed in Alexandria via LeMat-Bulk.

Results
Symmetry   No. 139
ΔE_f   -0.2969 eV/atom
DOS(E_F)   0.315 states/eV/atom

Geometry as POSCAR:
```
InPt2Au
1.0
4.121 0.000 0.000
0.000 4.121 0.000
0.000 0.000 7.745
In Pt Au
2 4 2
direct
0.000 0.000 0.000
0.500 0.500 0.500
0.000 0.500 0.250
0.000 0.500 0.750
0.500 0.000 0.250
0.500 0.000 0.750
0.000 0.000 0.500
0.500 0.500 0.000
```

=====

First-principles (GGA-PBEsol) data for an optimized crystal structure of SrLiCo2, as listed in Alexandria via LeMat-Bulk.

Results
E above lowest polymorph   0.0 kJ/mol of atoms
Symmetry   No. 99
ΔE_f   0.4336 eV/atom
DOS(E_F)   0.831 states/eV/atom

Geometry as POSCAR:
```
SrLiCo2
1.0
3.115 0.000 0.000
0.000 3.115 0.000
0.000 0.000 7.608
Sr Li Co
1 1 2
direct
0.000 0.000 0.000
0.500 0.500 0.617
0.000 0.000 0.398
0.500 0.500 0.291
```

=====

First-principles (GGA-PBEsol) data for an optimized crystal structure of Mn2GeB, as listed in Alexandria via LeMat-Bulk.

Results
Symmetry   No. 225
ΔE_f   0.2166 eV/atom
DOS(E_F)   0.624 states/eV/atom

Geometry as POSCAR:
```
Mn2GeB
1.0
5.445 0.000 0.000
0.000 5.445 0.000
0.000 0.000 5.445
Mn Ge B
8 4 4
direct
0.250 0.250 0.250
0.250 0.250 0.750
0.250 0.750 0.250
0.250 0.750 0.750
0.750 0.250 0.250
0.750 0.250 0.750
0.750 0.750 0.250
0.750 0.750 0.750
0.000 0.000 0.000
0.000 0.500 0.500
0.500 0.000 0.500
0.500 0.500 0.000
0.000 0.000 0.500
0.000 0.500 0.000
0.500 0.000 0.000
0.500 0.500 0.500
```

=====

Repeat the fifth record exactly.
First-principles (GGA-PBEsol) data for an optimized crystal structure of SrLiCo2, as listed in Alexandria via LeMat-Bulk.

Results
E above lowest polymorph   0.0 kJ/mol of atoms
Symmetry   No. 99
ΔE_f   0.4336 eV/atom
DOS(E_F)   0.831 states/eV/atom

Geometry as POSCAR:
```
SrLiCo2
1.0
3.115 0.000 0.000
0.000 3.115 0.000
0.000 0.000 7.608
Sr Li Co
1 1 2
direct
0.000 0.000 0.000
0.500 0.500 0.617
0.000 0.000 0.398
0.500 0.500 0.291
```